Here is a relaxed structure of VPO5 from Alexandria via LeMat-Bulk. Energies are from GGA+U.

Unit cell a=5.118 b=10.517 c=7.429 alpha=90.00 beta=116.64 gamma=90.00
Fractional positions:
V1 0.019 0.065 0.174
V2 0.019 0.435 0.674
V3 0.981 0.565 0.326
V4 0.981 0.935 0.826
P1 0.300 0.654 0.034
P2 0.300 0.846 0.534
P3 0.700 0.154 0.466
P4 0.700 0.346 0.966
O1 0.154 0.715 0.467
O2 0.154 0.785 0.967
O3 0.164 0.589 0.160
O4 0.164 0.911 0.660
O5 0.222 0.038 0.006
O6 0.222 0.462 0.506
O7 0.235 0.573 0.846
O8 0.235 0.927 0.346
O9 0.371 0.172 0.341
O10 0.371 0.328 0.841
O11 0.629 0.672 0.159
O12 0.629 0.828 0.659
O13 0.765 0.073 0.654
O14 0.765 0.427 0.154
O15 0.778 0.538 0.494
O16 0.778 0.962 0.994
O17 0.836 0.089 0.340
O18 0.836 0.411 0.840
O19 0.846 0.215 0.033
O20 0.846 0.285 0.533

## Properties
Space group: P2_1/c
Uncorrected energy (eV per atom): -7.328
Calculated density (Mg/m³): 3.01